## La2HgPd (PBE)

Data for a geometry-optimized La2HgPd structure.

POSCAR file:
```
La2HgPd
1.0
-1.844 -1.321 3.633
-3.618 -2.289 -0.144
2.360 -7.795 0.889
La Hg Pd
2 1 1
Direct
0.071 0.071 0.786 La
0.263 0.263 0.211 La
0.500 0.500 0.500 Hg
0.666 0.666 0.003 Pd
```

Summary:
- M_tot: 0.00 μB per atom
- Energy of formation: -0.557 eV per atom

## Rb3CoBr (PBE)

Data for a geometry-optimized Rb3CoBr structure.

POSCAR file:
```
Rb3CoBr
1.0
-5.356 -2.892 -2.553
3.655 -5.201 -1.777
-1.233 -2.855 5.822
Rb Co Br
3 1 1
Direct
0.000 0.000 0.500 Rb
0.500 0.000 0.000 Rb
0.000 0.500 0.000 Rb
0.500 0.500 0.500 Co
0.000 0.000 0.000 Br
```

Summary:
- Energy relative to the elements, uncorrected: 86 meV/atom
- E above lowest polymorph: 0.000 eV per atom
- M_tot: 0.37 μB per atom

## AuCl4 (PBE)

Data for a geometry-optimized AuCl4 structure.

POSCAR file:
```
AuCl4
1.0
-9.407 0.504 -0.441
-0.342 -5.055 7.954
5.010 7.988 -0.120
Au Cl
2 8
Direct
0.750 0.250 0.500 Au
0.000 0.000 0.000 Au
0.988 0.249 0.740 Cl
0.509 0.249 0.260 Cl
0.999 0.238 0.240 Cl
0.751 0.491 0.740 Cl
0.241 0.001 0.240 Cl
0.999 0.759 0.760 Cl
0.751 0.012 0.260 Cl
0.762 0.001 0.760 Cl
```

Summary:
- Energy relative to the elements, uncorrected: -53 meV/atom
- M_tot: 0.22 μB per atom

## Zn14GaAg (PBE)

Data for a geometry-optimized Zn14GaAg structure.

POSCAR file:
```
Zn14GaAg
1.0
-5.491 0.193 0.271
2.641 -1.290 -4.650
-0.206 -9.331 2.472
Zn Ag Ga
14 1 1
Direct
0.371 0.629 0.246 Zn
0.569 0.930 0.500 Zn
0.371 0.629 0.754 Zn
0.873 0.127 0.749 Zn
0.070 0.431 0.500 Zn
0.871 0.626 0.756 Zn
0.185 0.313 0.000 Zn
0.687 0.815 0.000 Zn
0.871 0.626 0.244 Zn
0.187 0.813 0.000 Zn
0.873 0.127 0.251 Zn
0.374 0.129 0.244 Zn
0.374 0.129 0.756 Zn
0.686 0.314 0.000 Zn
0.071 0.929 0.500 Ag
0.568 0.432 0.500 Ga
```

Summary:
- M_tot: 0.00 μB per atom
- Energy of formation: 0.005 eV per atom

Which of these has the highest M_tot? Rb3CoBr

Which formula does entry 2 have? Rb3CoBr

What is the M_tot in the second record? 0.37 μB per atom